# 1
Below is crystalline DyNpTl2O8 at its relaxed geometry, with properties calculated at the PBE-GGA level.

Lattice parameters (Å, degrees): 5.228 5.228 6.836 90.00 90.00 92.57
Sites, in units of the cell vectors:
1 Dy 0.000 0.000 0.000
2 Np 0.000 0.000 0.500
3 Tl 0.500 0.500 0.247
4 Tl 0.500 0.500 0.753
5 O 0.171 0.829 0.280
6 O 0.171 0.829 0.720
7 O 0.296 0.296 0.500
8 O 0.304 0.304 0.000
9 O 0.696 0.696 0.000
10 O 0.704 0.704 0.500
11 O 0.829 0.171 0.280
12 O 0.829 0.171 0.720

Properties
* formation energy from raw total energies: -1937 meV/atom
* SG: Cmmm (65)



# 2
Below is crystalline MnGaFeRe at its relaxed geometry, with properties calculated at the PBE-GGA level.

Lattice parameters (Å, degrees): 4.187 4.187 4.187 60.00 60.00 60.00
Sites, in units of the cell vectors:
1 Mn 0.000 0.000 0.000
2 Ga 0.500 0.500 0.500
3 Fe 0.250 0.250 0.250
4 Re 0.750 0.750 0.750

Properties
* energy of formation from the pure elements: 0.036 eV/atom
* SG: F-43m (216)



# 3
Below is crystalline Sm4YIr2 at its relaxed geometry, with properties calculated at the PBE-GGA level.

Lattice parameters (Å, degrees): 7.946 6.468 8.046 90.00 112.91 90.00
Sites, in units of the cell vectors:
1 Sm 0.014 0.250 0.378
2 Sm 0.248 0.750 0.336
3 Sm 0.415 0.004 0.764
4 Sm 0.415 0.496 0.764
5 Sm 0.585 0.504 0.236
6 Sm 0.585 0.996 0.236
7 Sm 0.752 0.250 0.664
8 Sm 0.986 0.750 0.622
9 Y 0.153 0.250 0.030
10 Y 0.847 0.750 0.970
11 Ir 0.249 0.750 0.989
12 Ir 0.371 0.250 0.407
13 Ir 0.629 0.750 0.593
14 Ir 0.751 0.250 0.011

Properties
* energy of formation from the pure elements: -0.438 eV/atom
* SG: P2_1/m (11)



no.,total magnetic moment (μB per formula unit)
1,0.0
2,3.3
3,0.0